The following is a PBE-GGA calculation of an optimized crystal structure of TcHg3F6, from the Alexandria database.

abc: 5.2538 5.2538 7.3790
angles: 90.00 90.00 120.00
With the nearest neighbours (Å) after each atom.
Atoms (fractional coordinates):
F 0.0000 0.7086 0.1574  1 Tc 1.92
F 0.7086 0.7086 0.8426  1 Tc 1.92
F 0.2914 0.2914 0.1574  1 Tc 1.92
F 0.0000 0.2914 0.8426  1 Tc 1.92
F 0.2914 0.0000 0.8426  1 Tc 1.92
F 0.7086 0.0000 0.1574  1 Tc 1.92
Hg 0.6667 0.3333 0.5000  6 Hg 3.03, 6 F 3.15
Hg 0.3333 0.6667 0.5000  6 Hg 3.03, 6 F 3.15
Hg 0.0000 0.0000 0.5000  6 F 2.96, 6 Hg 3.03
Tc 0.0000 0.0000 0.0000  6 F 1.92

Computed properties:
V   17.64 A^3/atom
Symmetry   P-31m (162)
DFT total energy   -3.76 eV per atom
Uncorrected formation energy   -1.5094 eV per atom